Below is a geometry-optimized ReBr2Cl3 structure, with properties calculated at the PBE level.

Structure (POSCAR):
```
ReBr2Cl3
1.0
6.376 0.000 0.000
-2.940 6.216 0.000
-0.323 -3.515 8.856
Re Br Cl
2 4 6
Cartesian
-0.030 0.555 1.890
3.143 2.147 6.966
-2.130 3.052 5.029
0.720 -2.181 8.469
2.392 4.883 0.386
5.243 -0.350 3.827
-1.417 0.885 7.540
1.803 -0.784 2.148
0.964 2.301 2.941
2.148 0.400 5.915
1.309 3.485 6.708
4.530 1.817 1.316
```

Values from the calculation:
Offset from the most stable computed form: 0.000 eV per atom

=====

Below is a geometry-optimized ReBr2Cl3 structure, with properties calculated at the PBE level.

Structure (POSCAR):
```
ReBr2Cl3
1.0
6.388 0.000 0.000
-2.940 6.248 0.000
-0.196 -3.486 8.718
Re Br Cl
2 4 6
Cartesian
-0.014 0.548 1.811
3.266 2.214 6.908
-2.040 3.119 4.963
1.058 2.397 2.914
2.195 0.365 5.804
5.292 -0.357 3.756
-1.295 0.958 7.471
0.768 -2.249 8.350
1.822 -0.801 2.066
1.431 3.563 6.652
2.485 5.011 0.368
4.548 1.803 1.248
```

Values from the calculation:
Offset from the most stable computed form: 0.000 eV per atom

=====

Below is a geometry-optimized Tb2S2BrCl structure, with properties calculated at the PBE level.

Structure (POSCAR):
```
Tb2S2BrCl
1.0
4.059 0.000 0.000
0.000 5.385 0.000
0.000 0.000 8.573
Tb S Br Cl
2 2 1 1
Cartesian
0.000 0.000 0.000
2.029 2.693 2.326
0.000 2.693 0.461
2.029 0.000 1.876
0.000 2.693 4.303
2.029 0.000 6.813
```

=====

Below is a geometry-optimized Tm2S2BrCl structure, with properties calculated at the PBE level.

Structure (POSCAR):
```
Tm2S2BrCl
1.0
3.950 0.000 0.000
0.000 5.304 0.000
0.000 0.000 8.616
Tm S Br Cl
2 2 1 1
Cartesian
0.000 0.000 0.000
1.975 2.652 2.242
0.000 2.652 0.386
1.975 0.000 1.847
1.975 0.000 6.662
0.000 2.652 3.983
```

=====

Ordered size of the total moment results: 1.99, 1.99, 0.00, 0.00; unit μB per formula unit.
Ordered V results: 29.25, 29.00, 31.23, 30.09; unit Å³/atom.
Ordered E_tot results: -3.9769, -3.9773, -5.6058, -5.5517; unit eV/atom.